Version w
Entry from Alexandria via LeMat-Bulk: a relaxed HfCdIn2Cu crystal (PBEsol).

The structure in POSCAR format:
```
HfCdIn2Cu
1.0
5.556 0.000 0.000
0.000 5.556 0.000
0.000 0.000 4.765
Hf Cd In Cu
1 1 2 1
Direct
0.000 0.000 0.000 Hf
0.500 0.500 0.500 Cd
0.000 0.500 0.000 In
0.500 0.000 0.000 In
0.000 0.000 0.500 Cu
```

For the magnetization, the calculation gives 0.00 μB/f.u. Its density of states at the Fermi level is 4.1 states/eV per cell.


Version x
Entry from Alexandria via LeMat-Bulk: a relaxed HfCdIn2Cu crystal (PBEsol).

The structure in POSCAR format:
```
HfCdIn2Cu
1.0
4.787 0.000 0.000
0.000 4.787 0.000
0.000 0.000 4.959
Hf Cd In Cu
1 1 2 1
Direct
0.000 0.000 0.000 Hf
0.500 0.500 0.000 Cd
0.000 0.500 0.500 In
0.500 0.000 0.500 In
0.000 0.000 0.500 Cu
```

For the magnetization, the calculation gives 0.00 μB/f.u. Its density of states at the Fermi level is 2.8 states/eV per cell.


version x is preferred energetically. Next in line: 0.602 eV/atom higher.


Version w
Entry from Alexandria via LeMat-Bulk: a relaxed Cd2InCu2 crystal (PBEsol).

The structure in POSCAR format:
```
Cd2InCu2
1.0
-1.952 1.952 6.148
1.952 -1.952 6.148
1.952 1.952 -6.148
Cd In Cu
2 1 2
Direct
0.250 0.750 0.500 Cd
0.750 0.250 0.500 Cd
0.000 0.000 0.000 In
0.405 0.405 0.000 Cu
0.595 0.595 0.000 Cu
```

For the magnetization, the calculation gives 0.00 μB/f.u. Its density of states at the Fermi level is 1.8 states/eV per cell.


Version x
Entry from Alexandria via LeMat-Bulk: a relaxed Cd2InCu2 crystal (PBEsol).

The structure in POSCAR format:
```
Cd2InCu2
1.0
7.652 0.000 0.000
0.000 7.652 0.000
0.000 0.000 2.968
Cd In Cu
4 2 4
Direct
0.177 0.323 0.000 Cd
0.323 0.823 0.000 Cd
0.677 0.177 0.000 Cd
0.823 0.677 0.000 Cd
0.000 0.000 0.500 In
0.500 0.500 0.500 In
0.116 0.616 0.500 Cu
0.384 0.116 0.500 Cu
0.616 0.884 0.500 Cu
0.884 0.384 0.500 Cu
```

For the magnetization, the calculation gives 0.00 μB/f.u. Its density of states at the Fermi level is 3.2 states/eV per cell.


version x is preferred energetically. Next in line: 0.118 eV/atom higher.


Version w
Entry from Alexandria via LeMat-Bulk: a relaxed LiCdCu crystal (PBEsol).

The structure in POSCAR format:
```
LiCdCu
1.0
4.326 0.000 0.000
-2.163 3.746 0.000
0.000 0.000 2.726
Li Cd Cu
1 1 1
Direct
0.000 0.000 0.000 Li
0.667 0.333 0.597 Cd
0.333 0.667 0.170 Cu
```

For the magnetization, the calculation gives 0.00 μB/f.u. Its density of states at the Fermi level is 0.9 states/eV per cell.


Version x
Entry from Alexandria via LeMat-Bulk: a relaxed LiCdCu crystal (PBEsol).

The structure in POSCAR format:
```
LiCdCu
1.0
0.000 2.929 2.929
2.929 0.000 2.929
2.929 2.929 0.000
Li Cd Cu
1 1 1
Direct
0.000 0.000 0.000 Li
0.750 0.750 0.750 Cd
0.250 0.250 0.250 Cu
```

For the magnetization, the calculation gives 0.00 μB/f.u. Its density of states at the Fermi level is 0.9 states/eV per cell.


version w is preferred energetically. Next in line: 0.337 eV/atom higher.


Version w
Entry from Alexandria via LeMat-Bulk: a relaxed Cd2CuMo crystal (PBEsol).

The structure in POSCAR format:
```
Cd2CuMo
1.0
0.000 3.222 3.222
3.222 0.000 3.222
3.222 3.222 0.000
Cd Cu Mo
2 1 1
Direct
0.250 0.250 0.250 Cd
0.750 0.750 0.750 Cd
0.000 0.000 0.000 Cu
0.500 0.500 0.500 Mo
```

For the magnetization, the calculation gives 2.07 μB/f.u. Its density of states at the Fermi level is 1.7 states/eV per cell.


Version x
Entry from Alexandria via LeMat-Bulk: a relaxed Cd2CuMo crystal (PBEsol).

The structure in POSCAR format:
```
Cd2CuMo
1.0
4.030 0.000 0.000
0.000 4.030 0.000
0.000 0.000 4.017
Cd Cu Mo
2 1 1
Direct
0.000 0.500 0.000 Cd
0.500 0.000 0.000 Cd
0.000 0.000 0.500 Cu
0.500 0.500 0.500 Mo
```

For the magnetization, the calculation gives 0.00 μB/f.u. Its density of states at the Fermi level is 1.8 states/eV per cell.


version x is preferred energetically. Next in line: 0.186 eV/atom higher.


Version w
Entry from Alexandria via LeMat-Bulk: a relaxed CdCu2P crystal (PBEsol).

The structure in POSCAR format:
```
CdCu2P
1.0
1.440 0.832 7.915
-1.440 0.832 7.915
0.000 -1.663 7.915
Cd Cu P
1 2 1
Direct
0.000 0.000 0.000 Cd
0.240 0.240 0.240 Cu
0.760 0.760 0.760 Cu
0.500 0.500 0.500 P
```

For the magnetization, the calculation gives 0.00 μB/f.u. Its density of states at the Fermi level is 1.1 states/eV per cell.


Version x
Entry from Alexandria via LeMat-Bulk: a relaxed CdCu2P crystal (PBEsol).

The structure in POSCAR format:
```
CdCu2P
1.0
3.084 0.000 0.000
0.000 3.886 0.000
0.000 0.000 4.969
Cd Cu P
1 2 1
Direct
0.000 0.000 0.000 Cd
0.500 0.500 0.250 Cu
0.500 0.500 0.750 Cu
0.500 0.000 0.500 P
```

For the magnetization, the calculation gives 0.00 μB/f.u. Its density of states at the Fermi level is 1.3 states/eV per cell.


Version y
Entry from Alexandria via LeMat-Bulk: a relaxed CdCu2P crystal (PBEsol).

The structure in POSCAR format:
```
CdCu2P
1.0
3.100 0.000 0.000
0.000 3.100 0.000
0.000 0.000 5.878
Cd Cu P
1 2 1
Direct
0.000 0.000 0.000 Cd
0.500 0.500 0.289 Cu
0.500 0.500 0.711 Cu
0.000 0.000 0.500 P
```

For the magnetization, the calculation gives 0.00 μB/f.u. Its density of states at the Fermi level is 1.4 states/eV per cell.


version x is preferred energetically. Next in line: 0.010 eV/atom higher.


Version w
Entry from Alexandria via LeMat-Bulk: a relaxed CdCuRu crystal (PBEsol).

The structure in POSCAR format:
```
CdCuRu
1.0
0.000 2.993 2.993
2.993 0.000 2.993
2.993 2.993 0.000
Cd Cu Ru
1 1 1
Direct
0.000 0.000 0.000 Cd
0.500 0.500 0.500 Cu
0.250 0.250 0.250 Ru
```

For the magnetization, the calculation gives 1.02 μB/f.u. Its density of states at the Fermi level is 5.0 states/eV per cell.


Version x
Entry from Alexandria via LeMat-Bulk: a relaxed CdCuRu crystal (PBEsol).

The structure in POSCAR format:
```
CdCuRu
1.0
2.750 0.000 0.000
-1.375 2.382 0.000
0.000 0.000 6.673
Cd Cu Ru
1 1 1
Direct
0.000 0.000 0.000 Cd
0.333 0.667 0.659 Cu
0.667 0.333 0.355 Ru
```

For the magnetization, the calculation gives 0.00 μB/f.u. Its density of states at the Fermi level is 2.4 states/eV per cell.


version x is preferred energetically. Next in line: 0.621 eV/atom higher.